La2Ni3 SCAN PBEsol geometry; Fermi-level density of states = 2.9 states/eV/f.u.; M_tot = 0.117 μB/atom; calculated formation energy = -225 meV/atom; crystal system = trigonal
1.0
4.0374 0.0000 0.0000
-2.0187 3.4965 0.0000
0.0000 0.0000 21.4506
La Ni
6 9
direct
0.0000 0.0000 0.0893
0.0000 0.0000 0.9107
0.3333 0.6667 0.5773
0.3333 0.6667 0.7560
0.6667 0.3333 0.2440
0.6667 0.3333 0.4227
0.0000 0.0000 0.3345
0.0000 0.0000 0.5000
0.0000 0.0000 0.6655
0.3333 0.6667 0.0012
0.3333 0.6667 0.1667
0.3333 0.6667 0.3321
0.6667 0.3333 0.6679
0.6667 0.3333 0.8333
0.6667 0.3333 0.9988